Density functional theory data (PBE) for a relaxed Sc2ReW crystal.

Output
distance to the lowest polymorph of the same formula = 461 meV per atom
ΔH_f (0 K) = 404 meV/atom
crystal system = cubic
symmetry = No. 225

Cell and atoms, written as POSCAR:
```
Sc2ReW
1.0
0.769 -4.576 -0.196
-3.465 -2.975 0.842
-1.799 -2.510 -3.468
Sc Re W
2 1 1
Direct
0.250 0.250 0.250
0.750 0.750 0.750
0.500 0.500 0.500
0.000 0.000 0.000
```